Computed, not measured: a relaxed K3LaP2Se8 crystal at the GGA-PBE level of DFT.

Summary:
ΔE_f (raw) = -0.9379 eV per atom
Total energy = -4.289 eV per atom
D(E_F) = 0.000 states/eV per cell
Space group = P2_1/c

Lattice parameters (Å, degrees): 17.869 9.947 10.232 86.21 90.00 90.00
Sites, in units of the cell vectors:
1 K 0.214 0.126 0.373
2 K 0.714 0.874 0.127
3 K 0.786 0.874 0.627
4 K 0.286 0.126 0.873
5 K 0.714 0.390 0.636
6 K 0.214 0.610 0.864
7 K 0.286 0.610 0.364
8 K 0.786 0.390 0.136
9 K 0.958 0.271 0.506
10 K 0.458 0.729 0.994
11 K 0.042 0.729 0.494
12 K 0.542 0.271 0.006
13 La 0.013 0.239 0.986
14 La 0.513 0.761 0.514
15 La 0.987 0.761 0.014
16 La 0.487 0.239 0.486
17 P 0.899 0.524 0.780
18 P 0.399 0.476 0.720
19 P 0.101 0.476 0.220
20 P 0.601 0.524 0.280
21 P 0.096 0.000 0.761
22 P 0.596 0.000 0.739
23 P 0.904 0.000 0.239
24 P 0.404 0.000 0.261
25 Se 0.114 0.977 0.980
26 Se 0.614 0.023 0.520
27 Se 0.886 0.023 0.020
28 Se 0.386 0.977 0.480
29 Se 0.018 0.081 0.268
30 Se 0.518 0.919 0.232
31 Se 0.982 0.919 0.732
32 Se 0.482 0.081 0.768
33 Se 0.024 0.532 0.820
34 Se 0.524 0.468 0.680
35 Se 0.976 0.468 0.180
36 Se 0.476 0.532 0.320
37 Se 0.866 0.313 0.845
38 Se 0.366 0.687 0.655
39 Se 0.134 0.687 0.155
40 Se 0.634 0.313 0.345
41 Se 0.099 0.224 0.724
42 Se 0.599 0.776 0.776
43 Se 0.901 0.776 0.276
44 Se 0.401 0.224 0.224
45 Se 0.185 0.900 0.654
46 Se 0.685 0.100 0.846
47 Se 0.815 0.100 0.346
48 Se 0.315 0.900 0.154
49 Se 0.874 0.572 0.572
50 Se 0.374 0.428 0.928
51 Se 0.126 0.428 0.428
52 Se 0.626 0.572 0.072
53 Se 0.161 0.334 0.097
54 Se 0.661 0.666 0.403
55 Se 0.839 0.666 0.903
56 Se 0.339 0.334 0.597